(1)
PBE BeAl4Tl, relaxed; magnetization = 0.000 μB per cell; Fermi-level density of states = 1.56 states/eV per cell; E_form = 0.4722 eV/atom; SG = F-43m
1.0
0.000 3.850 3.850
3.850 0.000 3.850
3.850 3.850 0.000
Be Al Tl
1 4 1
direct
0.000 0.000 0.000
0.374 0.374 0.374
0.374 0.374 0.877
0.374 0.877 0.374
0.877 0.374 0.374
0.750 0.750 0.750



(2)
PBE NbSbS2N, relaxed; magnetization = 2.648 μB per cell; relative energy among the computed polymorphs = 0.9758 eV per atom; Fermi-level density of states = 3.58 states/eV per cell; energy relative to the elements, uncorrected = 4.82 eV/f.u.; SG = P4/mmm
1.0
5.057 0.000 0.000
0.000 5.057 0.000
0.000 0.000 3.827
Nb Sb S N
1 1 2 1
direct
0.000 0.000 0.000
0.500 0.500 0.500
0.000 0.500 0.500
0.500 0.000 0.500
0.500 0.500 0.000



(3)
PBE ZrCr2Si, relaxed; magnetization = 0.000 μB per cell; Fermi-level density of states = 2.83 states/eV per cell; energy relative to the elements, uncorrected = -0.54 eV/f.u.; SG = P4/mmm
1.0
3.220 0.000 0.000
0.000 3.220 0.000
0.000 0.000 5.682
Zr Cr Si
1 2 1
direct
0.000 0.000 0.000
0.500 0.500 0.306
0.500 0.500 0.694
0.000 0.000 0.500



(4)
PBE CsRb3H3, relaxed; magnetization = 1.403 μB per cell; Fermi-level density of states = 5.99 states/eV per cell; DFT total energy = -0.07201 Ha/atom; SG = Pm-3n
1.0
8.249 0.000 0.000
0.000 8.249 0.000
0.000 0.000 8.249
Cs Rb H
2 6 6
direct
0.000 0.000 0.000
0.500 0.500 0.500
0.000 0.250 0.500
0.000 0.750 0.500
0.250 0.500 0.000
0.500 0.000 0.250
0.500 0.000 0.750
0.750 0.500 0.000
0.000 0.500 0.250
0.000 0.500 0.750
0.250 0.000 0.500
0.500 0.250 0.000
0.500 0.750 0.000
0.750 0.000 0.500



(5)
PBE Dy3H12Pt5, relaxed; magnetization = 0.000 μB per cell; Fermi-level density of states = 26.47 states/eV per cell; DFT total energy = -0.16639 Ha/atom; SG = Ia-3d
1.0
-5.940 5.940 5.940
5.940 -5.940 5.940
5.940 5.940 -5.940
Dy H Pt
12 48 20
direct
0.125 0.250 0.375
0.125 0.375 0.750
0.250 0.375 0.125
0.250 0.875 0.625
0.375 0.125 0.250
0.375 0.750 0.125
0.625 0.250 0.875
0.625 0.875 0.750
0.750 0.125 0.375
0.750 0.625 0.875
0.875 0.625 0.250
0.875 0.750 0.625
0.015 0.191 0.109
0.015 0.324 0.906
0.083 0.691 0.676
0.083 0.891 0.406
0.094 0.609 0.417
0.094 0.985 0.676
0.109 0.015 0.191
0.109 0.594 0.917
0.176 0.191 0.583
0.176 0.485 0.594
0.191 0.109 0.015
0.191 0.583 0.176
0.309 0.324 0.917
0.309 0.485 0.391
0.324 0.906 0.015
0.324 0.917 0.309
0.391 0.309 0.485
0.391 0.583 0.906
0.406 0.083 0.891
0.406 0.824 0.515
0.417 0.094 0.609
0.417 0.824 0.809
0.485 0.391 0.309
0.485 0.594 0.176
0.515 0.406 0.824
0.515 0.609 0.691
0.583 0.176 0.191
0.583 0.906 0.391
0.594 0.176 0.485
0.594 0.917 0.109
0.609 0.417 0.094
0.609 0.691 0.515
0.676 0.083 0.691
0.676 0.094 0.985
0.691 0.515 0.609
0.691 0.676 0.083
0.809 0.417 0.824
0.809 0.891 0.985
0.824 0.515 0.406
0.824 0.809 0.417
0.891 0.406 0.083
0.891 0.985 0.809
0.906 0.015 0.324
0.906 0.391 0.583
0.917 0.109 0.594
0.917 0.309 0.324
0.985 0.676 0.094
0.985 0.809 0.891
0.000 0.000 0.000
0.000 0.000 0.500
0.000 0.500 0.000
0.000 0.500 0.500
0.125 0.750 0.875
0.125 0.875 0.250
0.250 0.125 0.875
0.250 0.625 0.375
0.375 0.250 0.625
0.375 0.625 0.750
0.500 0.000 0.000
0.500 0.000 0.500
0.500 0.500 0.000
0.500 0.500 0.500
0.625 0.375 0.250
0.625 0.750 0.375
0.750 0.375 0.625
0.750 0.875 0.125
0.875 0.125 0.750
0.875 0.250 0.125



(6)
PBE Os2AuCl, relaxed; magnetization = 0.002 μB per cell; relative energy among the computed polymorphs = 1.1856 eV per atom; Fermi-level density of states = 5.12 states/eV per cell; energy relative to the elements, uncorrected = 6.05 eV/f.u.; SG = P4/mmm
1.0
4.603 0.000 0.000
0.000 4.603 0.000
0.000 0.000 2.975
Os Au Cl
2 1 1
direct
0.000 0.500 0.000
0.500 0.000 0.000
0.000 0.000 0.500
0.500 0.500 0.500



Please write out number 6 again, unchanged.
PBE Os2AuCl, relaxed; magnetization = 0.002 μB per cell; relative energy among the computed polymorphs = 1.1856 eV per atom; Fermi-level density of states = 5.12 states/eV per cell; energy relative to the elements, uncorrected = 6.05 eV/f.u.; SG = P4/mmm
1.0
4.603 0.000 0.000
0.000 4.603 0.000
0.000 0.000 2.975
Os Au Cl
2 1 1
direct
0.000 0.500 0.000
0.500 0.000 0.000
0.000 0.000 0.500
0.500 0.500 0.500